Entry from the Alexandria database: a relaxed structure of Be3NiO (GGA+U).

Output
Space-group type   Pm-3m, No. 221
Size of the total moment   0.0 μB per formula unit
Offset from the most stable computed form   0.00 eV/f.u.

Cell lengths 3.4538, 3.4538, 3.4538 Å; angles 90.00, 90.00, 90.00 degrees
With the nearest neighbours (Å) after each atom.
Fractional positions:
Be: 0.0000 0.0000 0.5000  2 O 1.73
Be: 0.0000 0.5000 0.0000  2 O 1.73
Be: 0.5000 0.0000 0.0000  2 O 1.73
Ni: 0.5000 0.5000 0.5000  12 Be 2.44
O: 0.0000 0.0000 0.0000  6 Be 1.73